ZnIrNF2 | PBE | optimized geometry

Formation energy from raw total energies ... -0.20 eV/atom
Space group ... P4/mmm (123)

abc: 4.358 4.358 3.727
angles: 90.00 90.00 90.00
Positions (direct):
Zn: 0.500 0.500 0.500
Ir: 0.000 0.000 0.000
F: 0.000 0.500 0.000
F: 0.500 0.000 0.000
N: 0.000 0.000 0.500

BaIr2Rh | PBE | optimized geometry

Energy relative to the elements ... -0.03 eV/atom
Space group ... R3m (160)

abc: 4.463 4.463 6.212
angles: 68.98 68.98 59.99
Last column: magnetic moment on the atom in μB.
Positions (direct):
Ir: 0.743 0.743 0.770  0.57
Rh: 0.438 0.438 0.686  0.44
Ba: 0.253 0.253 0.243  -0.02
Ir: 0.066 0.066 0.801  0.46

SmHoInRu | PBE | optimized geometry

Energy relative to the elements ... -0.30 eV/atom
Space group ... F-43m (216)

abc: 5.104 5.104 5.104
angles: 60.00 60.00 60.00
Positions (direct):
In: 0.250 0.250 0.250
Sm: 0.000 0.000 0.000
Ho: 0.500 0.500 0.500
Ru: 0.750 0.750 0.750

AcNdSm2 | PBE | optimized geometry

Energy relative to the elements ... 0.17 eV/atom
Space group ... R-3m (166)

abc: 3.647 3.647 13.151
angles: 82.03 82.03 60.00
Positions (direct):
Sm: 0.909 0.909 0.274
Ac: 0.000 0.000 0.000
Nd: 0.500 0.500 0.500
Sm: 0.091 0.091 0.726

PmMgInIr | PBE | optimized geometry

Energy relative to the elements ... -0.32 eV/atom
Space group ... F-43m (216)

abc: 4.962 4.962 4.962
angles: 60.00 60.00 60.00
Positions (direct):
Mg: 0.000 0.000 0.000
In: 0.750 0.750 0.750
Ir: 0.250 0.250 0.250
Pm: 0.500 0.500 0.500

Y2TaOs | PBE | optimized geometry

Energy relative to the elements ... 0.46 eV/atom
Space group ... R-3m (166)

abc: 9.811 9.811 9.811
angles: 19.04 19.04 19.04
Last column: magnetic moment on the atom in μB.
Positions (direct):
Os: 0.250 0.250 0.250  0.23
Y: 0.992 0.992 0.992  -0.01
Y: 0.508 0.508 0.508  -0.01
Ta: 0.750 0.750 0.750  0.00

Tb5Pr5Y2 | PBE | optimized geometry

Energy relative to the elements ... 0.02 eV/atom
Space group ... C2/m (12)

abc: 5.124 8.115 10.898
angles: 72.64 76.40 71.60
Positions (direct):
Pr: 0.835 0.831 0.499
Tb: 0.582 0.085 0.751
Pr: 0.165 0.169 0.501
Tb: 0.667 0.666 0.999
Pr: 0.250 0.748 0.752
Tb: 0.500 0.500 0.500
Pr: 0.000 0.000 0.000
Pr: 0.750 0.252 0.248
Y: 0.083 0.586 0.248
Y: 0.917 0.414 0.752
Tb: 0.333 0.334 0.001
Tb: 0.418 0.915 0.249

Sr2CeZrAs4 | PBE | optimized geometry

Energy relative to the elements ... -1.21 eV/atom
Space group ... P2/m (10)

abc: 4.196 7.257 7.499
angles: 108.70 90.00 90.00
Last column: magnetic moment on the atom in μB.
Positions (direct):
Sr: 0.000 0.500 0.500  0.00
Sr: 0.500 0.000 0.500  0.00
Zr: 0.000 0.000 0.000  0.00
As: 0.000 0.249 0.783  -0.01
As: 0.000 0.751 0.217  -0.01
Ce: 0.500 0.500 0.000  0.17
As: 0.500 0.229 0.214  -0.01
As: 0.500 0.771 0.786  -0.01

PmPaAg2O8 | PBE | optimized geometry

Formation energy from raw total energies ... -1.45 eV/atom
Space group ... I-4m2 (119)

abc: 6.281 6.281 6.281
angles: 107.71 107.71 113.05
Positions (direct):
O: 0.560 0.734 0.826
Pm: 0.250 0.750 0.500
O: 0.973 0.282 0.309
Ag: 0.500 0.500 0.000
O: 0.266 0.092 0.826
O: 0.973 0.664 0.691
O: 0.266 0.440 0.174
O: 0.718 0.027 0.691
Pa: 0.000 0.000 0.000
O: 0.336 0.027 0.309
O: 0.908 0.734 0.174
Ag: 0.750 0.250 0.500

LaScNiCl2 | PBE | optimized geometry

Formation energy from raw total energies ... -0.40 eV/atom
Space group ... P4/mmm (123)

abc: 4.709 7.390 4.709
angles: 90.00 90.00 90.00
Last column: magnetic moment on the atom in μB.
Positions (direct):
Cl: 0.500 0.000 0.000  0.00
Sc: 0.000 0.000 0.000  0.04
Cl: 0.000 0.000 0.500  0.00
Ni: 0.500 0.500 0.500  0.06
La: 0.000 0.500 0.000  0.00

PmMnNi4 | PBE | optimized geometry

Energy relative to the elements ... -0.21 eV/atom
Space group ... F-43m (216)

abc: 4.955 4.955 4.955
angles: 60.00 60.00 60.00
Last column: magnetic moment on the atom in μB.
Positions (direct):
Pm: 0.250 0.250 0.250  -0.03
Ni: 0.121 0.626 0.626  0.42
Mn: 0.000 0.000 0.000  3.91
Ni: 0.626 0.626 0.121  0.42
Ni: 0.626 0.626 0.626  0.42
Ni: 0.626 0.121 0.626  0.42

NdScZn2Ga2 | PBE | optimized geometry

Energy relative to the elements ... -0.56 eV/atom
Space group ... P-3m1 (164)

abc: 4.380 4.380 7.160
angles: 90.00 90.00 120.00
Positions (direct):
Zn: 0.333 0.667 0.295
Zn: 0.667 0.333 0.705
Ga: 0.333 0.667 0.722
Ga: 0.667 0.333 0.278
Sc: 0.000 0.000 0.500
Nd: 0.000 0.000 0.000